# 1
Here is a relaxed structure of Ba2ZnCd4Au3 from Alexandria via LeMat-Bulk. Energies are from PBE.

Cell: 4.6345 4.6345 12.4247 Å, 90.00 90.00 90.00°
Atoms (fractional coordinates):
Ba 0.0000 0.5000 0.2481
Ba 0.5000 0.0000 0.7519
Zn 0.0000 0.0000 0.5000
Cd 0.0000 0.0000 0.0000
Cd 0.0000 0.5000 0.6280
Cd 0.5000 0.0000 0.3720
Cd 0.5000 0.5000 0.0000
Au 0.0000 0.5000 0.8574
Au 0.5000 0.0000 0.1426
Au 0.5000 0.5000 0.5000


# 2
Here is a relaxed structure of Ba2Zn4CdAu3 from Alexandria via LeMat-Bulk. Energies are from PBE.

Cell: 4.5979 4.5979 11.3189 Å, 90.00 90.00 90.00°
Atoms (fractional coordinates):
Ba 0.0000 0.5000 0.2422
Ba 0.5000 0.0000 0.7578
Zn 0.0000 0.0000 0.0000
Zn 0.0000 0.5000 0.6357
Zn 0.5000 0.0000 0.3643
Zn 0.5000 0.5000 0.0000
Cd 0.0000 0.0000 0.5000
Au 0.0000 0.5000 0.8751
Au 0.5000 0.0000 0.1249
Au 0.5000 0.5000 0.5000


# 3
Here is a relaxed structure of BaCeAu4 from Alexandria via LeMat-Bulk. Energies are from PBE.

Cell: 9.5385 9.5385 9.5385 Å, 154.18 154.18 36.84°
Atoms (fractional coordinates):
Ba 0.0000 0.0000 0.0000
Ce 0.7500 0.2500 0.5000
Au 0.1749 0.6749 0.5000
Au 0.3251 0.8251 0.5000
Au 0.4213 0.4213 0.0000
Au 0.5787 0.5787 0.0000


# 4
Here is a relaxed structure of BaCeAu from Alexandria via LeMat-Bulk. Energies are from PBE.

## Properties
The energy above the most stable polymorph in this dataset comes out at 141 meV/atom.

Cell: 5.0691 5.0691 4.7099 Å, 90.00 90.00 120.00°
Atoms (fractional coordinates):
Ba 0.0000 0.0000 0.0000
Ce 0.6667 0.3333 0.4689
Au 0.3333 0.6667 0.5637


# 5
Here is a relaxed structure of BaCeAu10 from Alexandria via LeMat-Bulk. Energies are from PBE.

Cell: 4.7149 5.6850 9.9689 Å, 90.00 90.00 90.00°
Atoms (fractional coordinates):
Ba 0.0000 0.0000 0.0000
Ce 0.0000 0.5000 0.5000
Au 0.0000 0.0000 0.3422
Au 0.0000 0.0000 0.6578
Au 0.0000 0.5000 0.1790
Au 0.0000 0.5000 0.8210
Au 0.5000 0.0000 0.5000
Au 0.5000 0.2532 0.2561
Au 0.5000 0.2532 0.7439
Au 0.5000 0.5000 0.0000
Au 0.5000 0.7468 0.2561
Au 0.5000 0.7468 0.7439


# 6
Here is a relaxed structure of Ba2CeAu4 from Alexandria via LeMat-Bulk. Energies are from PBE.

Cell: 8.1902 8.1902 8.1902 Å, 140.23 140.23 57.51°
Atoms (fractional coordinates):
Ba 0.2192 0.2192 0.0000
Ba 0.7808 0.7808 0.0000
Ce 0.5000 0.5000 0.0000
Au 0.1003 0.6003 0.5000
Au 0.3997 0.8997 0.5000
Au 0.6003 0.1003 0.5000
Au 0.8997 0.3997 0.5000


# 7
Here is a relaxed structure of BaCeAu from Alexandria via LeMat-Bulk. Energies are from PBE.

## Properties
The energy above the most stable polymorph in this dataset comes out at 0 meV/atom.

Cell: 7.4201 7.4201 7.4201 Å, 149.42 149.42 43.80°
Atoms (fractional coordinates):
Ba 0.0000 0.0000 0.0000
Ce 0.2649 0.2649 0.0000
Au 0.6677 0.6677 0.0000


# 8
Here is a relaxed structure of BaLi2CeAu4 from Alexandria via LeMat-Bulk. Energies are from PBE.

Cell: 10.7525 10.7525 10.7525 Å, 24.83 24.83 24.83°
Atoms (fractional coordinates):
Ba 0.0000 0.0000 0.0000
Li 0.2437 0.2437 0.2437
Li 0.7563 0.7563 0.7563
Ce 0.5000 0.5000 0.5000
Au 0.1136 0.1136 0.1136
Au 0.4017 0.4017 0.4017
Au 0.5983 0.5983 0.5983
Au 0.8864 0.8864 0.8864


# 9
Here is a relaxed structure of BaCeMg2Au4 from Alexandria via LeMat-Bulk. Energies are from PBE.

Cell: 10.5662 10.5662 10.5662 Å, 26.06 26.06 26.06°
Atoms (fractional coordinates):
Ba 0.0000 0.0000 0.0000
Ce 0.5000 0.5000 0.5000
Mg 0.2406 0.2406 0.2406
Mg 0.7594 0.7594 0.7594
Au 0.1157 0.1157 0.1157
Au 0.4013 0.4013 0.4013
Au 0.5987 0.5987 0.5987
Au 0.8843 0.8843 0.8843


# 10
Here is a relaxed structure of Ba2NaCeAu6 from Alexandria via LeMat-Bulk. Energies are from PBE.

Cell: 7.6881 7.6881 7.6881 Å, 60.00 60.00 60.00°
Atoms (fractional coordinates):
Ba 0.2500 0.2500 0.2500
Ba 0.7500 0.7500 0.7500
Na 0.0000 0.0000 0.0000
Ce 0.5000 0.5000 0.5000
Au 0.2433 0.2433 0.7567
Au 0.2433 0.7567 0.2433
Au 0.2433 0.7567 0.7567
Au 0.7567 0.2433 0.2433
Au 0.7567 0.2433 0.7567
Au 0.7567 0.7567 0.2433


# 11
Here is a relaxed structure of BaCeP2Au from Alexandria via LeMat-Bulk. Energies are from PBE.

Cell: 7.4687 5.0429 8.0922 Å, 90.00 103.36 90.00°
Atoms (fractional coordinates):
Ba 0.0000 0.1832 0.2500
Ba 0.0000 0.8168 0.7500
Ce 0.5000 0.4701 0.7500
Ce 0.5000 0.5299 0.2500
P 0.2491 0.3119 0.9615
P 0.2491 0.6881 0.4615
P 0.7509 0.3119 0.5385
P 0.7509 0.6881 0.0385
Au 0.5000 0.0000 0.0000
Au 0.5000 0.0000 0.5000


# 12
Here is a relaxed structure of BaCe2P4Au from Alexandria via LeMat-Bulk. Energies are from PBE.

Cell: 7.3640 7.3640 13.8690 Å, 90.00 90.00 147.13°
Atoms (fractional coordinates):
Ba 0.1126 0.8874 0.7500
Ba 0.8874 0.1126 0.2500
Ce 0.3692 0.6308 0.5565
Ce 0.3692 0.6308 0.9435
Ce 0.6308 0.3692 0.0565
Ce 0.6308 0.3692 0.4435
P 0.0000 0.0000 0.0000
P 0.0000 0.0000 0.5000
P 0.2597 0.7403 0.1080
P 0.2597 0.7403 0.3920
P 0.4369 0.5631 0.7500
P 0.5631 0.4369 0.2500
P 0.7403 0.2597 0.6080
P 0.7403 0.2597 0.8920
Au 0.1549 0.8451 0.2500
Au 0.8451 0.1549 0.7500


| no. | raw total energy (Ry per atom) | DOS(E_F) (states/eV/atom) |
| --- | --- | --- |
| 1 | -0.16683 | 0.423 |
| 2 | -0.17630 | 0.507 |
| 3 | -0.30011 | 1.760 |
| 4 | -0.28469 | 2.854 |
| 5 | -0.27721 | 1.094 |
| 6 | -0.27823 | 1.791 |
| 7 | -0.29507 | 2.482 |
| 8 | -0.27353 | 1.311 |
| 9 | -0.26955 | 1.222 |
| 10 | -0.24793 | 1.106 |
| 11 | -0.39087 | 1.331 |
| 12 | -0.42970 | 0.746 |